Record 1
An optimized crystal structure of PbWBr2. Source: Alexandria, functional GGA-PBEsol. Values from VASP.

Summary:
Magnetization ... 0.01 μB per atom
Polymorph energy (0 for the lowest one) ... 528 meV per atom
Raw formation energy ... 1.0169 eV/atom

Geometry as Quantum ESPRESSO input:
```
&SYSTEM
  ibrav = 0, nat = 8, ntyp = 3
/
ATOMIC_SPECIES
Pb 207.20 Pb.upf
W 183.84 W.upf
Br 79.90 Br.upf
CELL_PARAMETERS angstrom
7.158 0.000 0.000
0.000 7.211 0.000
0.000 0.000 3.260
ATOMIC_POSITIONS crystal
Pb 0.000 0.000 0.000
Pb 0.500 0.500 0.000
W 0.000 0.500 0.000
W 0.500 0.000 0.000
Br 0.250 0.250 0.500
Br 0.250 0.750 0.500
Br 0.750 0.250 0.500
Br 0.750 0.750 0.500
```

***

Record 2
An optimized crystal structure of PbWBr2. Source: Alexandria, functional GGA-PBEsol. Values from VASP.

Summary:
Magnetization ... 0.00 μB per atom
Polymorph energy (0 for the lowest one) ... 0 meV per atom
Raw formation energy ... 0.4892 eV/atom

Geometry as Quantum ESPRESSO input:
```
&SYSTEM
  ibrav = 0, nat = 4, ntyp = 3
/
ATOMIC_SPECIES
Pb 207.20 Pb.upf
W 183.84 W.upf
Br 79.90 Br.upf
CELL_PARAMETERS angstrom
3.261 0.000 0.000
0.000 3.261 0.000
0.000 0.000 8.340
ATOMIC_POSITIONS crystal
Pb 0.000 0.000 0.000
W 0.500 0.500 0.263
Br 0.000 0.000 0.415
Br 0.500 0.500 0.744
```

***

Record 3
An optimized crystal structure of YPb2Br. Source: Alexandria, functional GGA-PBEsol. Values from VASP.

Summary:
Magnetization ... 0.00 μB per atom
Raw formation energy ... -0.5531 eV/atom

Geometry as Quantum ESPRESSO input:
```
&SYSTEM
  ibrav = 0, nat = 8, ntyp = 3
/
ATOMIC_SPECIES
Y 88.91 Y.upf
Pb 207.20 Pb.upf
Br 79.90 Br.upf
CELL_PARAMETERS angstrom
3.536 0.000 0.000
0.000 4.718 0.000
0.000 0.000 13.715
ATOMIC_POSITIONS crystal
Y 0.000 0.000 0.000
Y 0.500 0.500 0.500
Pb 0.000 0.500 0.294
Pb 0.000 0.500 0.706
Pb 0.500 0.000 0.206
Pb 0.500 0.000 0.794
Br 0.000 0.000 0.500
Br 0.500 0.500 0.000
```

***

Record 4
An optimized crystal structure of ZnPb2Br. Source: Alexandria, functional GGA-PBEsol. Values from VASP.

Summary:
Magnetization ... 0.00 μB per atom
Polymorph energy (0 for the lowest one) ... 8 meV per atom
Raw formation energy ... -0.0249 eV/atom

Geometry as Quantum ESPRESSO input:
```
&SYSTEM
  ibrav = 0, nat = 4, ntyp = 3
/
ATOMIC_SPECIES
Zn 65.41 Zn.upf
Pb 207.20 Pb.upf
Br 79.90 Br.upf
CELL_PARAMETERS angstrom
3.516 0.000 0.000
0.000 4.775 0.000
-1.722 0.000 6.221
ATOMIC_POSITIONS crystal
Zn 0.000 0.000 0.000
Pb 0.394 0.500 0.228
Pb 0.606 0.500 0.772
Br 0.000 0.000 0.500
```